Entry 1:
## La2VN3 (PBE-GGA)

Data for an optimized crystal structure of La2VN3.

Cell and atoms, written as CIF:
```
data_La2VN3
_chemical_formula_sum 'La16 V8 N24'
_cell_length_a 5.6253
_cell_length_b 11.0271
_cell_length_c 12.3675
_cell_angle_alpha 90.00
_cell_angle_beta 90.00
_cell_angle_gamma 90.00
_space_group_name_H-M_alt 'C m c e'
_space_group_IT_number 64
_space_group_name_Hall '-C 2ac 2'
loop_
_atom_site_label
_atom_site_type_symbol
_atom_site_fract_x
_atom_site_fract_y
_atom_site_fract_z
_atom_site_occupancy
La1 La 0.0000 0.0599 0.1396 1
La2 La 0.0000 0.1415 0.5764 1
V1 V 0.0000 0.2430 0.3407 1
N1 N 0.0000 0.0769 0.3714 1
N2 N 0.0000 0.1505 0.9612 1
N3 N 0.2500 0.2277 0.7500 1
```

Calculated values
Uncorrected formation energy ... -1.2743 eV per atom

---

Entry 2:
## La2V2N5 (PBE-GGA)

Data for an optimized crystal structure of La2V2N5.

Cell and atoms, written as CIF:
```
data_La2V2N5
_chemical_formula_sum 'La8 V8 N20'
_cell_length_a 15.4884
_cell_length_b 5.7303
_cell_length_c 5.5281
_cell_angle_alpha 90.00
_cell_angle_beta 90.00
_cell_angle_gamma 90.00
_space_group_name_H-M_alt 'I m a 2'
_space_group_IT_number 46
loop_
_space_group_symop_operation_xyz
'x,y,z'
'-x,-y,z'
'-x+1/2,y,z'
'x+1/2,-y,z'
'x+1/2,y+1/2,z+1/2'
'-x+1/2,-y+1/2,z+1/2'
'-x,y+1/2,z+1/2'
'x,-y+1/2,z+1/2'
loop_
_atom_site_label
_atom_site_type_symbol
_atom_site_fract_x
_atom_site_fract_y
_atom_site_fract_z
_atom_site_occupancy
La1 La 0.1095 0.0153 0.0000 1
V1 V 0.0000 0.0000 0.5024 1
V2 V 0.2500 0.5748 0.9608 1
N1 N 0.0076 0.7493 0.7459 1
N2 N 0.1452 0.0571 0.5035 1
N3 N 0.2500 0.6531 0.6381 1
```

Calculated values
Uncorrected formation energy ... -1.2156 eV per atom

---

Entry 3:
## La3VN4 (PBE-GGA)

Data for an optimized crystal structure of La3VN4.

Cell and atoms, written as CIF:
```
data_La3VN4
_chemical_formula_sum 'La6 V2 N8'
_cell_length_a 9.1845
_cell_length_b 5.5011
_cell_length_c 5.3491
_cell_angle_alpha 90.00
_cell_angle_beta 90.00
_cell_angle_gamma 90.00
_space_group_name_H-M_alt 'P m n 21'
_space_group_IT_number 31
loop_
_space_group_symop_operation_xyz
'x,y,z'
'-x+1/2,-y,z+1/2'
'-x,y,z'
'x+1/2,-y,z+1/2'
loop_
_atom_site_label
_atom_site_type_symbol
_atom_site_fract_x
_atom_site_fract_y
_atom_site_fract_z
_atom_site_occupancy
La1 La 0.0000 0.2344 0.0000 1
La2 La 0.2494 0.7320 0.9935 1
V1 V 0.0000 0.8105 0.4406 1
N1 N 0.0000 0.1315 0.5058 1
N2 N 0.0000 0.8086 0.0982 1
N3 N 0.2171 0.7402 0.4864 1
```

Calculated values
Uncorrected formation energy ... -1.1484 eV per atom

---

Entry 4:
## La3VN4 (PBE-GGA)

Data for an optimized crystal structure of La3VN4.

Cell and atoms, written as CIF:
```
data_La3VN4
_chemical_formula_sum 'La6 V2 N8'
_cell_length_a 7.6312
_cell_length_b 7.0070
_cell_length_c 5.5082
_cell_angle_alpha 90.00
_cell_angle_beta 90.00
_cell_angle_gamma 90.00
_space_group_name_H-M_alt 'P m n 21'
_space_group_IT_number 31
loop_
_space_group_symop_operation_xyz
'x,y,z'
'-x+1/2,-y,z+1/2'
'-x,y,z'
'x+1/2,-y,z+1/2'
loop_
_atom_site_label
_atom_site_type_symbol
_atom_site_fract_x
_atom_site_fract_y
_atom_site_fract_z
_atom_site_occupancy
La1 La 0.0000 0.1412 0.0000 1
La2 La 0.2478 0.3435 0.5039 1
V1 V 0.0000 0.8318 0.4603 1
N1 N 0.0000 0.0983 0.5174 1
N2 N 0.0000 0.8232 0.1291 1
N3 N 0.2068 0.7039 0.5372 1
```

Calculated values
Uncorrected formation energy ... -1.1908 eV per atom